Compound: KCaRu2
Source: Alexandria via LeMat-Bulk
Functional: PBE-GGA
Structure: optimized geometry

Values from the calculation:
Excess energy over the best structure of this formula in the dataset ... 0.946 eV per atom
E_form ... 1.320 eV per atom
Space-group type ... No. 122
Fermi-level density of states ... 1.133 states/eV/atom

Unit cell a=6.463 b=6.463 c=6.463 alpha=99.39 beta=99.39 gamma=132.35
Positions (direct):
K  0.000  0.000  0.000
K  0.750  0.250  0.500
Ca  0.250  0.750  0.500
Ca  0.500  0.500  0.000
Ru  0.136  0.625  0.011
Ru  0.375  0.386  0.511
Ru  0.614  0.125  0.989
Ru  0.875  0.864  0.489